The following is a DFT calculation (GGA-PBE) of crystalline NdHo6Sc6 at its relaxed geometry.

## Properties
Calculated formation energy in eV per atom: 0.20
Crystal system: orthorhombic
Space-group type: Cmmm, No. 65
Fermi-level density of states in states/eV/f.u.: 23.0

a = 6.3116 Å, b = 6.3103 Å, c = 10.6588 Å
α = 90.00°, β = 90.00°, γ = 115.95°
With the nearest neighbours (Å) after each atom.
Element x y z (fractional)
1 Ho 0.6477 0.3513 0.0000  6 Sc 3.15-3.45, 1 Ho 3.17
2 Ho 0.3523 0.6487 0.0000  6 Sc 3.15-3.45, 1 Ho 3.17
3 Nd 0.0000 0.0000 0.0000  8 Ho 3.59-3.76, 8 Sc 3.98-3.99
4 Ho 0.7156 0.2846 0.5000  6 Sc 3.24-3.37, 4 Ho 3.43-3.50
5 Sc 0.5000 0.0000 0.2286  6 Ho 3.15-3.36, 4 Sc 3.22-3.35
6 Sc 0.0000 0.5000 0.2282  6 Ho 3.15-3.37, 4 Sc 3.22-3.35
7 Ho 0.0000 0.0000 0.3370  6 Sc 3.36-3.39, 3 Ho 3.47-3.50, 1 Nd 3.59
8 Sc 0.5000 0.0000 0.7714  6 Ho 3.15-3.36, 4 Sc 3.22-3.35
9 Sc 0.0000 0.5000 0.7718  6 Ho 3.15-3.37, 4 Sc 3.22-3.35
10 Sc 0.5000 0.5000 0.2871  4 Sc 3.22, 6 Ho 3.24-3.45
11 Ho 0.2844 0.7154 0.5000  6 Sc 3.24-3.37, 4 Ho 3.43-3.50
12 Ho 0.0000 0.0000 0.6630  6 Sc 3.36-3.39, 3 Ho 3.47-3.50, 1 Nd 3.59
13 Sc 0.5000 0.5000 0.7129  4 Sc 3.22, 6 Ho 3.24-3.45


The following is a DFT calculation (GGA-PBE) of crystalline Nd12Ho6Sc at its relaxed geometry.

## Properties
Calculated formation energy in eV per atom: 0.13
Crystal system: trigonal
Space-group type: R-3, No. 148
Fermi-level density of states in states/eV/f.u.: 32.7

a = 8.6471 Å, b = 8.6471 Å, c = 8.6471 Å
α = 89.15°, β = 89.15°, γ = 89.15°
With the nearest neighbours (Å) after each atom.
Element x y z (fractional)
1 Nd 0.0188 0.1879 0.3613  4 Nd 3.47-3.67, 4 Ho 3.54-3.75, 1 Sc 3.55
2 Nd 0.4356 0.7832 0.5355  6 Nd 3.37-3.76, 3 Ho 3.40-3.52
3 Nd 0.9812 0.8121 0.6387  4 Nd 3.47-3.67, 4 Ho 3.54-3.75, 1 Sc 3.55
4 Ho 0.9013 0.2905 0.7413  7 Nd 3.40-3.75, 1 Sc 3.45, 2 Ho 3.50
5 Nd 0.5355 0.4356 0.7832  6 Nd 3.37-3.76, 3 Ho 3.40-3.52
6 Sc 0.0000 0.0000 0.0000  6 Ho 3.45, 6 Nd 3.55
7 Nd 0.6387 0.9812 0.8121  4 Nd 3.47-3.67, 4 Ho 3.54-3.75, 1 Sc 3.55
8 Ho 0.7095 0.2587 0.0987  7 Nd 3.40-3.75, 1 Sc 3.45, 2 Ho 3.50
9 Nd 0.5644 0.2168 0.4645  6 Nd 3.37-3.76, 3 Ho 3.40-3.52
10 Ho 0.2587 0.0987 0.7095  7 Nd 3.40-3.75, 1 Sc 3.45, 2 Ho 3.50
11 Nd 0.1879 0.3613 0.0188  4 Nd 3.47-3.67, 4 Ho 3.54-3.75, 1 Sc 3.55
12 Nd 0.4645 0.5644 0.2168  6 Nd 3.37-3.76, 3 Ho 3.40-3.52
13 Nd 0.3613 0.0188 0.1879  4 Nd 3.47-3.67, 4 Ho 3.54-3.75, 1 Sc 3.55
14 Nd 0.7832 0.5355 0.4356  6 Nd 3.37-3.76, 3 Ho 3.40-3.52
15 Ho 0.2905 0.7413 0.9013  7 Nd 3.40-3.75, 1 Sc 3.45, 2 Ho 3.50
16 Ho 0.0987 0.7095 0.2587  7 Nd 3.40-3.75, 1 Sc 3.45, 2 Ho 3.50
17 Nd 0.8121 0.6387 0.9812  4 Nd 3.47-3.67, 4 Ho 3.54-3.75, 1 Sc 3.55
18 Ho 0.7413 0.9013 0.2905  7 Nd 3.40-3.75, 1 Sc 3.45, 2 Ho 3.50
19 Nd 0.2168 0.4645 0.5644  6 Nd 3.37-3.76, 3 Ho 3.40-3.52


The following is a DFT calculation (GGA-PBE) of crystalline NdHo4Sc7 at its relaxed geometry.

## Properties
Calculated formation energy in eV per atom: 0.27
Crystal system: monoclinic
Space-group type: C2/m, No. 12
Fermi-level density of states in states/eV/f.u.: 23.5

a = 5.5632 Å, b = 11.1467 Å, c = 6.3324 Å
α = 84.55°, β = 63.94°, γ = 75.55°
With the nearest neighbours (Å) after each atom.
Element x y z (fractional)
1 Ho 0.7157 0.6965 0.8720  6 Sc 3.10-3.44
2 Sc 0.3576 0.5162 0.7686  4 Sc 3.07-3.20, 2 Ho 3.10-3.22
3 Sc 0.5000 0.0000 0.0000  2 Nd 2.78, 2 Sc 2.96
4 Sc 0.9604 0.3743 0.7048  4 Sc 3.19-3.34, 3 Ho 3.36-3.39
5 Ho 0.6327 0.2257 0.5088  7 Sc 3.18-3.44
6 Sc 0.2089 0.0824 0.4998  3 Sc 2.96-3.30, 1 Nd 3.00, 3 Ho 3.18-3.22
7 Ho 0.3673 0.7743 0.4912  7 Sc 3.18-3.44
8 Ho 0.2843 0.3035 0.1280  6 Sc 3.10-3.44
9 Nd 0.0000 0.0000 0.0000  4 Sc 2.78-3.00
10 Sc 0.7911 0.9176 0.5002  3 Sc 2.96-3.30, 1 Nd 3.00, 3 Ho 3.18-3.22
11 Sc 0.0396 0.6257 0.2952  4 Sc 3.19-3.34, 3 Ho 3.36-3.39
12 Sc 0.6424 0.4838 0.2314  4 Sc 3.07-3.20, 2 Ho 3.10-3.22


The following is a DFT calculation (GGA-PBE) of crystalline NdHo8Sc2 at its relaxed geometry.

## Properties
Energy relative to the lowest polymorph listed for this composition in meV/atom: 48.7
Calculated formation energy in eV per atom: 0.17
Crystal system: monoclinic
Space-group type: C2/m, No. 12
Fermi-level density of states in states/eV/f.u.: 15.0

a = 5.8293 Å, b = 8.9924 Å, c = 9.4586 Å
α = 61.62°, β = 72.85°, γ = 51.65°
With the nearest neighbours (Å) after each atom.
Element x y z (fractional)
1 Ho 0.2140 0.6393 0.2641  6 Ho 3.23-3.56, 2 Sc 3.41-3.48
2 Ho 0.7860 0.0966 0.2641  6 Ho 3.23-3.56, 2 Sc 3.41-3.48
3 Ho 0.7860 0.3607 0.7359  6 Ho 3.23-3.56, 2 Sc 3.41-3.48
4 Ho 0.2140 0.9034 0.7359  6 Ho 3.23-3.56, 2 Sc 3.41-3.48
5 Sc 0.0000 0.6873 0.6254  12 Ho 3.41-3.73
6 Ho 0.7308 0.5309 0.0000  2 Ho 2.83-3.07
7 Nd 0.5000 0.0000 0.0000  4 Ho 3.38-3.54
8 Ho 0.2692 0.4691 0.0000  2 Ho 2.83-3.07
9 Ho 0.5000 0.7968 0.4065  6 Ho 3.35-3.56, 1 Nd 3.38, 4 Sc 3.44-3.54
10 Ho 0.5000 0.2032 0.5935  6 Ho 3.35-3.56, 1 Nd 3.38, 4 Sc 3.44-3.54
11 Sc 0.0000 0.3127 0.3746  12 Ho 3.41-3.73


The following is a DFT calculation (GGA-PBE) of crystalline Nd3HoSc7 at its relaxed geometry.

## Properties
Calculated formation energy in eV per atom: 0.31
Crystal system: orthorhombic
Space-group type: Immm, No. 71
Fermi-level density of states in states/eV/f.u.: 14.8

a = 5.5163 Å, b = 8.0345 Å, c = 8.0345 Å
α = 81.82°, β = 110.05°, γ = 110.05°
With the nearest neighbours (Å) after each atom.
Element x y z (fractional)
1 Sc 0.2814 0.9717 0.5911  2 Nd 3.10-3.20, 5 Sc 3.11-3.41
2 Sc 0.2086 0.2084 0.2084  1 Ho 3.16, 2 Nd 3.21, 6 Sc 3.35-3.41
3 Sc 0.2814 0.5911 0.9717  2 Nd 3.10-3.20, 5 Sc 3.11-3.41
4 Nd 0.0000 0.7835 0.2165  5 Sc 2.98-3.21
5 Nd 0.5000 0.0000 0.0000  4 Sc 3.10
6 Ho 0.5000 0.5000 0.5000  2 Sc 2.76
7 Sc 0.7914 0.7916 0.7916  1 Ho 3.16, 2 Nd 3.21, 6 Sc 3.35-3.41
8 Sc 0.7186 0.0283 0.4089  2 Nd 3.10-3.20, 5 Sc 3.11-3.41
9 Sc 0.0000 0.5000 0.5000  2 Ho 2.76, 2 Nd 2.98
10 Sc 0.7186 0.4089 0.0283  2 Nd 3.10-3.20, 5 Sc 3.11-3.41
11 Nd 0.0000 0.2165 0.7835  5 Sc 2.98-3.21


The following is a DFT calculation (GGA-PBE) of crystalline Nd3Ho4Sc at its relaxed geometry.

## Properties
Energy relative to the lowest polymorph listed for this composition in meV/atom: 0.0
Calculated formation energy in eV per atom: 0.03
Crystal system: orthorhombic
Space-group type: Pmn2_1, No. 31
Fermi-level density of states in states/eV/f.u.: 13.8

a = 6.2413 Å, b = 7.2581 Å, c = 11.3256 Å
α = 90.00°, β = 90.00°, γ = 90.00°
With the nearest neighbours (Å) after each atom.
Element x y z (fractional)
1 Ho 0.4846 0.8760 0.7444  1 Sc 3.44, 6 Ho 3.46-3.61, 5 Nd 3.56-3.65
2 Ho 0.4846 0.8760 0.2556  1 Sc 3.44, 6 Ho 3.46-3.61, 5 Nd 3.56-3.65
3 Sc 0.6438 0.6303 0.5000  6 Ho 3.44-3.68, 6 Nd 3.52-3.66
4 Nd 0.9792 0.6239 0.2503  4 Nd 3.51-3.60, 2 Sc 3.52-3.53, 6 Ho 3.53-3.65
5 Ho 0.9846 0.1240 0.2444  1 Sc 3.44, 6 Ho 3.46-3.61, 5 Nd 3.56-3.65
6 Ho 0.1462 0.8770 0.5000  6 Ho 3.48-3.62, 4 Nd 3.53-3.66, 2 Sc 3.59-3.61
7 Nd 0.6476 0.6270 0.0000  4 Nd 3.51-3.52, 6 Ho 3.56-3.66, 2 Sc 3.62-3.66
8 Ho 0.6503 0.1237 0.5000  6 Ho 3.46-3.62, 4 Nd 3.54-3.62, 2 Sc 3.58-3.68
9 Ho 0.1503 0.8763 0.0000  6 Ho 3.46-3.62, 4 Nd 3.54-3.62, 2 Sc 3.58-3.68
10 Nd 0.1476 0.3730 0.5000  4 Nd 3.51-3.52, 6 Ho 3.56-3.66, 2 Sc 3.62-3.66
11 Ho 0.9846 0.1240 0.7556  1 Sc 3.44, 6 Ho 3.46-3.61, 5 Nd 3.56-3.65
12 Nd 0.9792 0.6239 0.7497  4 Nd 3.51-3.60, 2 Sc 3.52-3.53, 6 Ho 3.53-3.65
13 Nd 0.4792 0.3761 0.2497  4 Nd 3.51-3.60, 2 Sc 3.52-3.53, 6 Ho 3.53-3.65
14 Sc 0.1438 0.3697 0.0000  6 Ho 3.44-3.68, 6 Nd 3.52-3.66
15 Ho 0.6462 0.1230 0.0000  6 Ho 3.48-3.62, 4 Nd 3.53-3.66, 2 Sc 3.59-3.61
16 Nd 0.4792 0.3761 0.7503  4 Nd 3.51-3.60, 2 Sc 3.52-3.53, 6 Ho 3.53-3.65